Material: Rb2CoCuAg
Method: DFT, PBE
State: optimized geometry

Values from the calculation:
Its formation energy from the elements is 0.776 eV/atom. Its space-group type is No. 123. The value obtained for the density of states at the Fermi level is 4.144 states/eV per cell.

Lattice parameters (Å, degrees): 6.492 4.556 6.492 90.00 90.00 90.00
Each line ends with the local moment (μB).
Positions (direct):
Cu 0.000 0.500 0.000  0.14
Co 0.000 0.000 0.000  1.82
Rb 0.000 0.000 0.500  -0.01
Rb 0.500 0.000 0.000  0.00
Ag 0.500 0.500 0.500  0.00